Density functional theory data (PBE) for a relaxed structure of EuTmCuAu.

DFT formation energy	-0.4554	eV/atom

Unit cell a=7.170 b=7.170 c=7.170 alpha=90.00 beta=90.00 gamma=90.00
Space group F-43m (No. 216)
One atom of each set of equivalent atoms:
Eu: 0.000 0.000 0.000
Tm: 0.000 0.000 0.500
Cu: 0.250 0.250 0.250
Au: 0.250 0.250 0.750

Density functional theory data (PBE) for a relaxed structure of PuMg3Cu8.

DFT formation energy	-0.0986	eV/atom

Unit cell a=5.0598 b=5.0598 c=8.2309 alpha=90.00 beta=90.00 gamma=120.00
Space group P3m1 (No. 156)
One atom of each set of equivalent atoms:
Pu: 0.0000 0.0000 0.0000
Mg: 0.0000 0.0000 0.3908
Mg: 0.6667 0.3333 0.4940
Mg: 0.6667 0.3333 0.8543
Cu: 0.1664 0.3327 0.6814
Cu: 0.3333 0.6667 0.4315
Cu: 0.3333 0.6667 0.9354
Cu: 0.5030 0.0060 0.1911

Density functional theory data (PBE) for a relaxed structure of TaAlIn2.

DFT formation energy	0.6102	eV/atom

Unit cell a=6.934 b=6.934 c=6.934 alpha=90.00 beta=90.00 gamma=90.00
Space group F-43m (No. 216)
One atom of each set of equivalent atoms:
Ta: 0.000 0.000 0.000
Al: 0.250 0.250 0.750
In: 0.000 0.000 0.500
In: 0.250 0.250 0.250

Short version: ρ = 10475; 7509; 8719 kg/m3, in the order given.